i.
Compound: RbSiSeBr2
Source: the Alexandria database
Functional: PBE
Structure: optimized geometry

The structure in POSCAR format:
```
RbSiSeBr2
1.0
-1.512 -4.199 3.175
4.480 -2.762 -1.518
2.459 1.937 3.732
Rb Br Si Se
1 2 1 1
Cartesian
2.713 -2.512 2.695
-0.756 -2.099 1.588
2.240 -1.381 -0.759
0.000 0.000 0.000
1.230 0.968 1.866
```

Calculated values
- Total moment: 0.0 μB/cell
- Space-group type: P4/mmm

---

ii.
Compound: RbSiSeBr2
Source: the Alexandria database
Functional: PBE
Structure: optimized geometry

The structure in POSCAR format:
```
RbSiSeBr2
1.0
-0.839 1.668 5.903
-5.954 1.213 -1.189
-1.472 -5.817 1.434
Br Rb Si Se
2 1 1 1
Cartesian
-0.420 0.834 2.952
-2.977 0.607 -0.595
0.000 0.000 0.000
-4.133 -1.468 3.074
-0.736 -2.909 0.717
```

Calculated values
- Total moment: 1.0 μB/cell
- Space-group type: P4/mmm

---

The energy of each structure relative to the most stable one, in meV/atom, is as follows: i 0; ii 1342.